The following is a PBE+U calculation of a relaxed LiMn3NiO8 crystal, from the Alexandria database.

Summary:
**Total magnetic moment**: 0.77 μB per atom
**Energy**: -83.452 eV/cell

Geometry as POSCAR:
```
LiMn3NiO8
1.0
2.913 5.007 -0.089
-2.913 5.007 -0.089
0.000 3.126 4.992
Li Mn Ni O
1 3 1 8
Direct
0.000 0.000 0.000
0.000 0.500 0.500
0.500 0.500 0.500
0.500 0.000 0.500
0.000 0.000 0.500
0.231 0.716 0.299
0.716 0.231 0.299
0.221 0.221 0.313
0.729 0.729 0.301
0.271 0.271 0.699
0.779 0.779 0.687
0.284 0.769 0.701
0.769 0.284 0.701
```